1 | First-principles (GGA-PBE) data for crystalline LaS2NF at its relaxed geometry, as listed in the Alexandria database.

Results
**Mass density**: 2.6 Mg/m³
**Symmetry**: P4/mmm, No. 123

a b c (Å): 5.8783 5.8783 4.3300
angles (deg): 90.00 90.00 90.00
Fractional positions:
La  0.0000  0.0000  0.0000
S  0.0000  0.5000  0.0000
S  0.5000  0.0000  0.0000
N  0.0000  0.0000  0.5000
F  0.5000  0.5000  0.5000

2 | First-principles (GGA-PBE) data for crystalline LaS2NF at its relaxed geometry, as listed in the Alexandria database.

Results
**Mass density**: 4.6 Mg/m³
**Symmetry**: P4/mmm, No. 123

a b c (Å): 4.1364 4.1364 4.9766
angles (deg): 90.00 90.00 90.00
Fractional positions:
La  0.0000  0.0000  0.0000
S  0.0000  0.5000  0.5000
S  0.5000  0.0000  0.5000
N  0.5000  0.5000  0.0000
F  0.5000  0.5000  0.5000

Which is more stable than every other structure shown? 2 is more stable than every other one.